(1)
# LaThSc6 | the Alexandria database | PBE | relaxed
# DFT formation energy in eV per atom: 0.055
# M_tot in μB/f.u.: 0.00
data_LaThSc6
_chemical_formula_sum 'La1 Th1 Sc6'
_space_group_name_H-M_alt 'P 1'
_space_group_IT_number 1
_space_group_name_Hall 'P 1'
_cell_length_a 4.736
_cell_length_b 4.736
_cell_length_c 9.591
_cell_angle_alpha 90.00
_cell_angle_beta 90.00
_cell_angle_gamma 90.00
loop_
_atom_site_label
_atom_site_type_symbol
_atom_site_fract_x
_atom_site_fract_y
_atom_site_fract_z
La1 La 0.000 0.000 0.000
Th1 Th 0.000 0.000 0.500
Sc1 Sc 0.500 0.500 0.000
Sc2 Sc 0.500 0.500 0.500
Sc3 Sc 0.500 0.000 0.256
Sc4 Sc 0.500 0.000 0.744
Sc5 Sc 0.000 0.500 0.256
Sc6 Sc 0.000 0.500 0.744

(2)
# La14ThSc | the Alexandria database | PBE | relaxed
# DFT formation energy in eV per atom: 0.023
# M_tot in μB/f.u.: 0.00
data_La14ThSc
_chemical_formula_sum 'La14 Th1 Sc1'
_space_group_name_H-M_alt 'P 1'
_space_group_IT_number 1
_space_group_name_Hall 'P 1'
_cell_length_a 7.336
_cell_length_b 7.336
_cell_length_c 10.492
_cell_angle_alpha 90.00
_cell_angle_beta 90.00
_cell_angle_gamma 89.90
loop_
_atom_site_label
_atom_site_type_symbol
_atom_site_fract_x
_atom_site_fract_y
_atom_site_fract_z
La1 La 0.375 0.625 0.500
La2 La 0.875 0.125 0.500
La3 La 0.875 0.625 0.000
La4 La 0.875 0.626 0.500
La5 La 0.375 0.125 0.000
La6 La 0.374 0.125 0.500
La7 La 0.624 0.874 0.758
La8 La 0.624 0.874 0.242
La9 La 0.126 0.376 0.758
La10 La 0.126 0.376 0.242
La11 La 0.126 0.874 0.758
La12 La 0.126 0.874 0.242
La13 La 0.625 0.375 0.757
La14 La 0.625 0.375 0.243
Th1 Th 0.375 0.625 0.000
Sc1 Sc 0.875 0.125 0.000

(3)
# LaThSc | the Alexandria database | PBE | relaxed
# DFT formation energy in eV per atom: 0.056
# M_tot in μB/f.u.: 0.00
# ΔE to the lowest computed polymorph in meV/atom: 0.0
data_LaThSc
_chemical_formula_sum 'La1 Th1 Sc1'
_space_group_name_H-M_alt 'P 1'
_space_group_IT_number 1
_space_group_name_Hall 'P 1'
_cell_length_a 3.581
_cell_length_b 3.581
_cell_length_c 7.683
_cell_angle_alpha 103.48
_cell_angle_beta 103.48
_cell_angle_gamma 90.00
loop_
_atom_site_label
_atom_site_type_symbol
_atom_site_fract_x
_atom_site_fract_y
_atom_site_fract_z
Sc1 Sc 0.657 0.657 0.313
Th1 Th 0.007 0.007 0.013
La1 La 0.337 0.337 0.673

(4)
# LaTh2Sc3 | the Alexandria database | PBE | relaxed
# DFT formation energy in eV per atom: 0.025
# M_tot in μB/f.u.: 0.00
# ΔE to the lowest computed polymorph in meV/atom: 0.0
data_LaTh2Sc3
_chemical_formula_sum 'La1 Th2 Sc3'
_space_group_name_H-M_alt 'P 1'
_space_group_IT_number 1
_space_group_name_Hall 'P 1'
_cell_length_a 3.520
_cell_length_b 3.520
_cell_length_c 14.060
_cell_angle_alpha 90.00
_cell_angle_beta 90.00
_cell_angle_gamma 90.00
loop_
_atom_site_label
_atom_site_type_symbol
_atom_site_fract_x
_atom_site_fract_y
_atom_site_fract_z
La1 La 0.500 0.500 0.500
Th1 Th 0.500 0.500 0.836
Th2 Th 0.500 0.500 0.164
Sc1 Sc 0.000 0.000 0.000
Sc2 Sc 0.000 0.000 0.676
Sc3 Sc 0.000 0.000 0.324